1.
The following is a DFT calculation (PBE-GGA) of crystalline Ba3BeF at its relaxed geometry.

Raw formation energy: -329 kJ/mol of formula units
Density of states at the Fermi level: 6.27 states/eV per cell
Size of the total moment: 0.000 μB per formula unit

```
5
Lattice="5.532 0.000 0.000 0.000 5.532 0.000 0.000 0.000 5.532" Properties=species:S:1:pos:R:3 pbc="T T T"
Ba 2.766 0.000 0.000
Ba 0.000 2.766 0.000
Ba 0.000 0.000 2.766
F 0.000 0.000 0.000
Be 2.766 2.766 2.766
```

2.
The following is a DFT calculation (PBE-GGA) of crystalline LiCoP2 at its relaxed geometry.

Density of states at the Fermi level: 2.49 states/eV per cell
E_form: -73.1 meV per atom
Size of the total moment: 0.000 μB per formula unit

```
4
Lattice="-3.900 -2.218 -1.088 -0.202 -4.448 1.219 1.087 3.969 2.093" Properties=species:S:1:pos:R:3 pbc="T T T"
Co -2.051 -3.333 0.066
Li -2.432 -0.791 0.535
P -0.583 -1.906 1.689
P 0.000 0.000 0.000
```

3.
The following is a DFT calculation (PBE-GGA) of crystalline Cs2CdBi at its relaxed geometry.

Density of states at the Fermi level: 1.01 states/eV per cell
E_form: -265.6 meV per atom
Size of the total moment: 0.000 μB per formula unit

```
4
Lattice="-1.680 -4.868 4.102 4.437 -3.293 -2.082 2.213 6.328 3.121" Properties=species:S:1:pos:R:3 pbc="T T T"
Cs 0.642 1.287 1.790
Cs 3.047 -2.168 3.954
Bi 4.310 1.710 3.791
Cd -0.118 -2.968 1.714
```

4.
The following is a DFT calculation (PBE-GGA) of crystalline CaPuOs at its relaxed geometry.

Density of states at the Fermi level: 6.72 states/eV per cell
E_form: 159.0 meV per atom
Size of the total moment: 4.779 μB per formula unit

```
3
Lattice="-0.302 -2.823 -1.761 3.260 -0.605 0.410 -2.801 -1.630 6.262" Properties=species:S:1:pos:R:3 pbc="T T T"
Ca -0.080 -0.202 0.338
Os 1.008 -2.906 1.315
Pu -0.771 -1.950 3.257
```

5.
The following is a DFT calculation (PBE-GGA) of crystalline Ac2GaPt at its relaxed geometry.

Density of states at the Fermi level: 5.27 states/eV per cell
E_form: -845.7 meV per atom
Size of the total moment: 0.000 μB per formula unit

```
8
Lattice="-1.933 1.266 3.721 -0.573 -4.345 1.180 11.488 2.267 5.197" Properties=species:S:1:pos:R:3 pbc="T T T"
Ga 10.039 0.406 6.366
Ga -1.057 -1.217 3.732
Ac 2.537 -1.187 5.588
Ac 1.083 0.330 1.739
Ac 7.899 -1.142 8.359
Ac 6.445 0.375 4.510
Pt 3.745 0.352 3.115
Pt 5.237 -1.164 6.983
```

6.
The following is a DFT calculation (PBE-GGA) of crystalline Sr3Ga8Ag3 at its relaxed geometry.

Density of states at the Fermi level: 6.15 states/eV per cell
E_form: -372.8 meV per atom
Size of the total moment: 0.000 μB per formula unit

```
14
Lattice="4.501 0.000 0.000 2.250 8.356 0.037 2.250 2.310 8.031" Properties=species:S:1:pos:R:3 pbc="T T T"
Ga 6.751 6.270 6.435
Ga 4.501 5.513 0.700
Ga 4.501 8.492 2.953
Ga 6.751 7.899 4.281
Ga 4.501 5.154 7.367
Ga 4.501 2.175 5.114
Ga 2.250 2.767 3.787
Ga 2.250 4.397 1.632
Sr 4.501 2.089 1.580
Sr 4.501 5.333 4.034
Sr 4.501 8.578 6.488
Ag 2.250 0.000 0.000
Ag 2.250 3.554 6.387
Ag 2.250 7.113 1.680
```

> Look up the density of states at the Fermi level of the third one.

1.01 states/eV per cell

> What is the formula in the fourth record?

CaPuOs

> size of the total moment of number 5 (Ac2GaPt)?

0.000 μB per formula unit